No. 1
# ErZnPd4 | Alexandria | GGA-PBE | relaxed
data_ErZnPd4
_space_group_name_H-M_alt 'P 1'
_space_group_IT_number 1
_space_group_name_Hall 'P 1'
_cell_length_a 3.732
_cell_length_b 5.092
_cell_length_c 6.551
_cell_angle_alpha 106.39
_cell_angle_beta 73.45
_cell_angle_gamma 68.50
loop_
_atom_site_label
_atom_site_type_symbol
_atom_site_fract_x
_atom_site_fract_y
_atom_site_fract_z
_atom_site_occupancy
Pd1 Pd 0.185 0.474 0.156 1
Pd2 Pd 0.351 0.984 0.313 1
Pd3 Pd 0.649 0.016 0.687 1
Pd4 Pd 0.815 0.526 0.844 1
Zn1 Zn 0.000 0.000 0.000 1
Er1 Er 0.500 0.500 0.500 1
# - E_tot (eV/atom) = -5.080
# - density (kg/m³) = 10925
# - ΔH_f (0 K) (eV per atom) = -0.645
# - symmetry = C2/m, No. 12
# - DOS at the Fermi energy (states/eV per atom) = 0.406


No. 2
# ZrSiS3 | Alexandria | GGA-PBE | relaxed
data_ZrSiS3
_space_group_name_H-M_alt 'P 1'
_space_group_IT_number 1
_space_group_name_Hall 'P 1'
_cell_length_a 4.472
_cell_length_b 4.472
_cell_length_c 4.472
_cell_angle_alpha 90.00
_cell_angle_beta 90.00
_cell_angle_gamma 90.00
loop_
_atom_site_label
_atom_site_type_symbol
_atom_site_fract_x
_atom_site_fract_y
_atom_site_fract_z
_atom_site_occupancy
Zr1 Zr 0.500 0.500 0.500 1
S1 S 0.000 0.000 0.500 1
S2 S 0.000 0.500 0.000 1
S3 S 0.500 0.000 0.000 1
Si1 Si 0.000 0.000 0.000 1
# - formation energy without anion corrections (meV per atom) = -216
# - energy above the most stable polymorph in this dataset (eV/atom) = 0.000
# - E_tot (eV/atom) = -5.487
# - density (kg/m³) = 4002
# - symmetry = Pm-3m, No. 221
# - DOS at the Fermi energy (states/eV per atom) = 0.881